# 1
Entry from Alexandria: a relaxed structure of TaRh2Au (PBEsol).

The structure belongs to space group P4/mmm (No. 123); the cell edges are 3.243, 3.243 and 5.860 Å and the angles 90.00°, 90.00° and 90.00°. The inequivalent atoms are Ta at (0.000, 0.000, 0.000), Rh at (0.500, 0.500, 0.235) and Au at (0.000, 0.000, 0.500).

As for the formation energy: -0.37 eV/atom.



# 2
Entry from Alexandria: a relaxed structure of YPOF2 (PBEsol).

The structure belongs to space group P4/mmm (No. 123); the cell edges are 4.267, 4.267 and 4.497 Å and the angles 90.00°, 90.00° and 90.00°. The inequivalent atoms are Y at (0.000, 0.000, 0.000), P at (0.500, 0.500, 0.500), O at (0.000, 0.000, 0.500) and F at (0.000, 0.500, 0.000).

Its uncorrected formation energy is -1.97 eV per atom.



# 3
Entry from Alexandria: a relaxed structure of CdIrRh2 (PBEsol).

The structure belongs to space group Pmm2 (No. 25); the cell edges are 2.744, 3.829 and 5.647 Å and the angles 90.00°, 90.00° and 90.00°. The inequivalent atoms are Cd at (0.000, 0.000, 0.000), Ir at (0.500, 0.500, 0.280), Rh at (0.000, 0.000, 0.499) and Rh at (0.500, 0.500, 0.741).

As for the formation energy: 0.13 eV/atom.



# 4
Entry from Alexandria: a relaxed structure of Al2CdHg (PBEsol).

The structure belongs to space group P4/mmm (No. 123); the cell edges are 4.216, 4.216 and 4.339 Å and the angles 90.00°, 90.00° and 90.00°. The inequivalent atoms are Al at (0.000, 0.500, 0.000), Cd at (0.000, 0.000, 0.500) and Hg at (0.500, 0.500, 0.500).

As for the formation energy: 0.13 eV/atom.